Computed, not measured: a crystal of SrHo2Al2O7 relaxed with PBEsol at the SCAN level of DFT.

abc: 9.988 9.988 9.988
angles: 158.74 158.74 30.24
Fractional positions:
1 Sr 0.000 0.000 0.000
2 Ho 0.182 0.182 0.000
3 Ho 0.818 0.818 0.000
4 Al 0.402 0.402 0.000
5 Al 0.598 0.598 0.000
6 O 0.107 0.607 0.500
7 O 0.295 0.295 0.000
8 O 0.393 0.893 0.500
9 O 0.500 0.500 0.000
10 O 0.607 0.107 0.500
11 O 0.705 0.705 0.000
12 O 0.893 0.393 0.500

Values from the calculation:
- Formation energy from raw total energies: -3.6117 eV/atom
- Space group: No. 139
- Total DFT energy (no corrections): -222.71 eV per formula unit